{
  "formula": "Li2Ho3Zn7",
  "functional": "PBE",
  "state": "optimized geometry",
  "cell": [[-2.180, -4.915, 0.454], [3.147, -4.263, 1.018], [-0.729, -1.810, 8.976]],
  "species": ["Li", "Zn", "Zn", "Li", "Zn", "Ho", "Zn", "Ho", "Zn", "Zn", "Zn", "Ho"],
  "frac_coords": [[0.667, 0.667, 0.999], [0.079, 0.583, 0.755], [0.921, 0.417, 0.245], [0.333, 0.333, 0.001], [0.583, 0.583, 0.755], [0.137, 0.137, 0.590], [0.500, 0.500, 0.500], [0.000, 0.000, 0.000], [0.417, 0.417, 0.245], [0.417, 0.921, 0.245], [0.583, 0.079, 0.755], [0.863, 0.863, 0.410]],
  "m_tot_mub_per_cell": 0.000,
  "dft_energy_ev_per_cell": -29.82,
  "sg": "No. 166",
  "dos_ef_per_ev_cell": 8.68,
  "mass_density_g_cm3": 7.366
}

{
  "formula": "GeTeI2O",
  "functional": "PBE",
  "state": "optimized geometry",
  "cell": [[-1.199, -4.483, -2.464], [3.891, 0.843, -3.428], [2.923, -2.295, 2.752]],
  "species": ["Te", "I", "I", "Ge", "O"],
  "frac_coords": [[0.000, 0.000, 0.500], [0.500, 0.000, 0.000], [0.000, 0.500, 0.000], [0.500, 0.500, 0.500], [0.000, 0.000, 0.000]],
  "formation_energy_uncorrected_ev_per_atom": 0.414,
  "m_tot_mub_per_cell": 0.000,
  "dft_energy_ev_per_cell": -13.75,
  "sg": "No. 123",
  "dos_ef_per_ev_cell": 3.48,
  "polymorph_energy_ev_per_atom": 0.470,
  "mass_density_g_cm3": 6.114
}

{
  "formula": "CrOsAu2",
  "functional": "PBE",
  "state": "optimized geometry",
  "cell": [[-0.117, -2.954, 2.773], [0.864, -1.920, -2.008], [6.070, -0.919, -0.722]],
  "species": ["Os", "Cr", "Au", "Au"],
  "frac_coords": [[0.500, 0.750, 0.750], [0.500, 0.250, 0.250], [0.000, 0.501, 0.499], [0.000, 0.999, 0.001]],
  "m_tot_mub_per_cell": 1.992,
  "dft_energy_ev_per_cell": -25.29,
  "sg": "No. 47",
  "dos_ef_per_ev_cell": 3.65,
  "polymorph_energy_ev_per_atom": 0.318,
  "mass_density_g_cm3": 16.421
}

{
  "formula": "VSiAu3",
  "functional": "PBE",
  "state": "optimized geometry",
  "cell": [[4.718, 0.000, 0.000], [0.000, 4.718, 0.000], [0.000, 0.000, 4.718]],
  "species": ["Si", "Au", "Au", "V", "Au"],
  "frac_coords": [[0.000, 0.000, 0.000], [0.000, 0.000, 0.500], [0.500, 0.000, 0.000], [0.500, 0.500, 0.500], [0.000, 0.500, 0.000]],
  "formation_energy_uncorrected_ev_per_atom": 0.494,
  "m_tot_mub_per_cell": 3.586,
  "dft_energy_ev_per_cell": -21.91,
  "sg": "No. 221",
  "dos_ef_per_ev_cell": 5.27,
  "polymorph_energy_ev_per_atom": 0.000,
  "mass_density_g_cm3": 10.592
}

{
  "formula": "Pm6ScSn10",
  "functional": "PBE",
  "state": "optimized geometry",
  "cell": [[-1.785, 0.634, 6.062], [-5.318, -7.607, -0.770], [8.881, -0.779, 2.696]],
  "species": ["Sn", "Pm", "Sn", "Sn", "Pm", "Sn", "Sn", "Sn", "Sn", "Pm", "Sn", "Sc", "Sn", "Pm", "Pm", "Sn", "Pm"],
  "frac_coords": [[0.000, 0.333, 0.667], [0.737, 0.000, 0.609], [0.193, 0.759, 0.000], [0.500, 0.667, 0.333], [0.737, 0.391, 0.391], [0.807, 0.241, 0.000], [0.000, 0.667, 0.333], [0.500, 0.333, 0.667], [0.193, 0.241, 0.241], [0.263, 0.609, 0.609], [0.807, 0.000, 0.241], [0.500, 0.000, 0.000], [0.193, 0.000, 0.759], [0.263, 0.391, 0.000], [0.737, 0.609, 0.000], [0.807, 0.759, 0.759], [0.263, 0.000, 0.391]],
  "m_tot_mub_per_cell": 0.000,
  "dft_energy_ev_per_cell": -84.51,
  "sg": "No. 162",
  "dos_ef_per_ev_cell": 11.64,
  "mass_density_g_cm3": 7.316
}

{
  "formula": "RbAl2Mo",
  "functional": "PBE",
  "state": "optimized geometry",
  "cell": [[-1.954, 0.885, 5.162], [-0.662, -5.507, 0.693], [6.832, -2.889, 6.108]],
  "species": ["Mo", "Al", "Rb", "Al", "Rb", "Mo", "Al", "Al"],
  "frac_coords": [[0.750, 0.250, 0.500], [0.875, 0.125, 0.750], [0.250, 0.750, 0.500], [0.375, 0.125, 0.750], [0.500, 0.500, 0.000], [0.000, 0.000, 0.000], [0.875, 0.125, 0.250], [0.875, 0.625, 0.250]],
  "m_tot_mub_per_cell": 5.630,
  "dft_energy_ev_per_cell": -31.22,
  "sg": "No. 141",
  "dos_ef_per_ev_cell": 7.02,
  "polymorph_energy_ev_per_atom": 0.000,
  "mass_density_g_cm3": 2.856
}

{
  "formula": "U4PbO12",
  "functional": "PBE",
  "state": "optimized geometry",
  "cell": [[-4.137, 5.396, -2.644], [-4.159, -4.467, 3.997], [5.301, 2.733, 4.202]],
  "species": ["O", "O", "O", "O", "O", "O", "O", "O", "O", "O", "Pb", "O", "U", "U", "U", "O", "U"],
  "frac_coords": [[0.540, 0.258, 0.282], [0.976, 0.258, 0.718], [0.024, 0.742, 0.282], [0.218, 0.743, 0.961], [0.732, 0.964, 0.232], [0.460, 0.742, 0.718], [0.732, 0.500, 0.768], [0.268, 0.036, 0.768], [0.218, 0.257, 0.475], [0.782, 0.257, 0.039], [0.000, 0.500, 0.500], [0.268, 0.500, 0.232], [0.500, 0.500, 0.500], [0.500, 0.000, 0.000], [0.000, 0.500, 0.000], [0.782, 0.743, 0.525], [0.000, 0.000, 0.500]],
  "formation_energy_uncorrected_ev_per_atom": -2.933,
  "m_tot_mub_per_cell": 2.004,
  "dft_energy_ev_per_cell": -158.22,
  "sg": "No. 139",
  "dos_ef_per_ev_cell": 13.53,
  "mass_density_g_cm3": 7.507
}